Here is YCrSn2 after structural relaxation from Alexandria via LeMat-Bulk. Energies are from PBE-GGA.

Cell and atoms, written as CIF:
```
data_YCrSn2
_chemical_formula_sum 'Y4 Cr4 Sn8'
_cell_length_a 4.7505
_cell_length_b 4.7505
_cell_length_c 19.5570
_cell_angle_alpha 90.00
_cell_angle_beta 90.00
_cell_angle_gamma 90.00
_symmetry_space_group_name_H-M 'I -4 2 d'
_symmetry_Int_Tables_number 122
_symmetry_space_group_name_Hall 'I -4 2bw'
loop_
_atom_site_label
_atom_site_type_symbol
_atom_site_fract_x
_atom_site_fract_y
_atom_site_fract_z
Y1 Y 0.0000 0.0000 0.0000
Cr1 Cr 0.0000 0.0000 0.5000
Sn1 Sn 0.1944 0.2500 0.6250
```

Calculated values
Its calculated formation energy is 156.3 meV/atom. The calculation puts the offset from the most stable computed form at 0 meV per atom. Its electronic total energy is -93.87 eV/cell.

Here is ZnCrSn2 after structural relaxation from Alexandria via LeMat-Bulk. Energies are from PBE-GGA.

Cell and atoms, written as CIF:
```
data_ZnCrSn2
_chemical_formula_sum 'Zn4 Cr4 Sn8'
_cell_length_a 7.6510
_cell_length_b 7.6510
_cell_length_c 5.7643
_cell_angle_alpha 90.00
_cell_angle_beta 90.00
_cell_angle_gamma 90.00
_symmetry_space_group_name_H-M 'I -4 2 d'
_symmetry_Int_Tables_number 122
_symmetry_space_group_name_Hall 'I -4 2bw'
loop_
_atom_site_label
_atom_site_type_symbol
_atom_site_fract_x
_atom_site_fract_y
_atom_site_fract_z
Zn1 Zn 0.0000 0.0000 0.0000
Cr1 Cr 0.0000 0.0000 0.5000
Sn1 Sn 0.2227 0.2500 0.6250
```

Calculated values
Its calculated formation energy is 716.8 meV/atom. The calculation puts the offset from the most stable computed form at 407 meV per atom. Its electronic total energy is -64.14 eV/cell.

Here is ZnCr3Sn after structural relaxation from Alexandria via LeMat-Bulk. Energies are from PBE-GGA.

Cell and atoms, written as CIF:
```
data_ZnCr3Sn
_chemical_formula_sum 'Zn1 Cr3 Sn1'
_cell_length_a 4.6021
_cell_length_b 4.6021
_cell_length_c 4.6021
_cell_angle_alpha 90.00
_cell_angle_beta 90.00
_cell_angle_gamma 90.00
_symmetry_space_group_name_H-M 'P m -3 m'
_symmetry_Int_Tables_number 221
_symmetry_space_group_name_Hall '-P 4 2 3'
loop_
_atom_site_label
_atom_site_type_symbol
_atom_site_fract_x
_atom_site_fract_y
_atom_site_fract_z
Zn1 Zn 0.0000 0.0000 0.0000
Cr1 Cr 0.0000 0.0000 0.5000
Sn1 Sn 0.5000 0.5000 0.5000
```

Calculated values
Its calculated formation energy is 1068.5 meV/atom. The calculation puts the offset from the most stable computed form at 0 meV per atom. Its electronic total energy is -28.80 eV/cell.

Here is ZnCrSn2 after structural relaxation from Alexandria via LeMat-Bulk. Energies are from PBE-GGA.

Cell and atoms, written as CIF:
```
data_ZnCrSn2
_chemical_formula_sum 'Zn4 Cr4 Sn8'
_cell_length_a 6.9726
_cell_length_b 6.9726
_cell_length_c 6.9726
_cell_angle_alpha 90.00
_cell_angle_beta 90.00
_cell_angle_gamma 90.00
_symmetry_space_group_name_H-M 'F m -3 m'
_symmetry_Int_Tables_number 225
_symmetry_space_group_name_Hall '-F 4 2 3'
loop_
_atom_site_label
_atom_site_type_symbol
_atom_site_fract_x
_atom_site_fract_y
_atom_site_fract_z
Zn1 Zn 0.0000 0.0000 0.0000
Cr1 Cr 0.0000 0.0000 0.5000
Sn1 Sn 0.2500 0.2500 0.2500
```

Calculated values
Its calculated formation energy is 309.8 meV/atom. The calculation puts the offset from the most stable computed form at 0 meV per atom. Its electronic total energy is -70.65 eV/cell.